Record 1
! HoEr2Sc, optimized geometry, DFT GGA-PBE; values from VASP
&SYSTEM
  ibrav = 0, nat = 4, ntyp = 3
/
ATOMIC_SPECIES
Er 167.26 Er.upf
Ho 164.93 Ho.upf
Sc 44.96 Sc.upf
CELL_PARAMETERS angstrom
-1.359 -0.816 3.077
1.969 -1.503 2.417
3.068 9.312 5.770
ATOMIC_POSITIONS angstrom
Er 0.895 1.663 2.783
Er 2.782 5.329 8.482
Ho 1.839 3.496 5.632
Sc 0.000 0.000 0.000
! Symmetry: R-3m (166)
! Uncorrected energy (eV for the cell shown): -19.86
! V (Å³ per cell): 116.2
! E above lowest polymorph (eV per formula unit): 0.07
! Formation enthalpy at 0 K (meV/atom): 45


Record 2
! LiV2S4, optimized geometry, DFT GGA-PBE; values from VASP
&SYSTEM
  ibrav = 0, nat = 14, ntyp = 3
/
ATOMIC_SPECIES
S 32.06 S.upf
V 50.94 V.upf
Li 6.94 Li.upf
CELL_PARAMETERS angstrom
7.035 0.255 -0.125
-0.250 7.021 0.116
-3.315 -3.717 4.975
ATOMIC_POSITIONS angstrom
S -0.132 1.671 3.863
S 1.939 3.568 1.061
S 3.496 -1.465 3.577
S 3.386 1.593 3.628
S 1.876 0.043 1.464
S 5.354 0.174 1.106
S -0.008 -1.803 3.807
S 5.024 3.674 1.289
V 3.434 5.517 1.306
V -1.757 -0.122 3.598
V 3.569 1.724 1.243
V 1.479 -0.012 3.944
Li -3.311 3.316 4.906
Li 0.105 3.481 2.403
! Symmetry: R3m (160)
! Formation energy (no corrections) (eV per atom): -0.96
! Uncorrected energy (eV for the cell shown): -86.83
! V (Å³ per cell): 246.0
! E above lowest polymorph (eV per formula unit): 0.38


- Which formula does entry 2 have?
  LiV2S4


- Which value of V does entry 1 give?
  116.2 Å³ per cell


- What is the V in the second record?
  246.0 Å³ per cell